Here is an optimized crystal structure of PrCd2Sn3 from Alexandria. Energies are from PBE.

a = 4.758 Å, b = 14.526 Å, c = 4.554 Å
α = 90.00°, β = 90.00°, γ = 90.00°
Space group Cmmm (No. 65)
Asymmetric unit:
Pr 0.000 0.000 0.000
Cd 0.000 0.332 0.000
Sn 0.000 0.173 0.500
Sn 0.000 0.500 0.500

## Properties
Its size of the total moment is 0.00 μB/cell. Its formation energy from the elements is -0.28 eV/atom. The density of states at the Fermi level is 5.5 states/eV per cell.

=====

Here is an optimized crystal structure of LaGd3Pt from Alexandria. Energies are from PBE.

a = 5.561 Å, b = 5.561 Å, c = 5.561 Å
α = 90.00°, β = 90.00°, γ = 90.00°
Space group Pm-3m (No. 221)
Asymmetric unit:
La 0.000 0.000 0.000
Gd 0.000 0.500 0.500
Pt 0.500 0.500 0.500

## Properties
Its size of the total moment is 22.56 μB/cell. Its formation energy from the elements is -0.38 eV/atom. The density of states at the Fermi level is 8.8 states/eV per cell.

=====

Here is an optimized crystal structure of SbBrCl from Alexandria. Energies are from PBE.

a = 3.6637 Å, b = 3.6637 Å, c = 7.3789 Å
α = 90.00°, β = 90.00°, γ = 120.00°
Space group P3m1 (No. 156)
Asymmetric unit:
Sb 0.0000 0.0000 0.0000
Br 0.3333 0.6667 0.2929
Cl 0.6667 0.3333 0.7252

## Properties
Its size of the total moment is 0.00 μB/cell. The calculation puts the uncorrected formation energy at -0.196 eV/atom. For the energy above the most stable polymorph in this dataset, the calculation gives 392 meV per atom. The density of states at the Fermi level is 2.5 states/eV per cell.

=====

Here is an optimized crystal structure of KCr3Ni from Alexandria. Energies are from PBE.

a = 4.834 Å, b = 4.834 Å, c = 4.834 Å
α = 90.00°, β = 90.00°, γ = 90.00°
Space group Pm-3m (No. 221)
Asymmetric unit:
K 0.000 0.000 0.000
Cr 0.000 0.500 0.500
Ni 0.500 0.500 0.500

## Properties
Its size of the total moment is 12.71 μB/cell. Its formation energy from the elements is 1.20 eV/atom. For the energy above the most stable polymorph in this dataset, the calculation gives 0 meV per atom. The density of states at the Fermi level is 5.7 states/eV per cell.

=====

Here is an optimized crystal structure of CdSiPt2 from Alexandria. Energies are from PBE.

a = 3.834 Å, b = 3.834 Å, c = 8.805 Å
α = 90.00°, β = 90.00°, γ = 90.00°
Space group I-4m2 (No. 119)
Asymmetric unit:
Cd 0.000 0.000 0.000
Si 0.000 0.500 0.250
Pt 0.000 0.000 0.500
Pt 0.000 0.500 0.750

## Properties
Its size of the total moment is 0.00 μB/cell. The calculation puts the uncorrected formation energy at -0.184 eV/atom. The density of states at the Fermi level is 2.4 states/eV per cell.

=====

Here is an optimized crystal structure of Tb2Er9Th from Alexandria. Energies are from PBE.

a = 4.984 Å, b = 4.984 Å, c = 14.929 Å
α = 90.00°, β = 90.00°, γ = 90.00°
Space group P4/mmm (No. 123)
Asymmetric unit:
Tb 0.000 0.000 0.167
Er 0.000 0.500 0.000
Er 0.000 0.500 0.335
Er 0.500 0.500 0.165
Er 0.500 0.500 0.500
Th 0.000 0.000 0.500

## Properties
Its size of the total moment is 0.00 μB/cell. Its formation energy from the elements is 0.03 eV/atom. The density of states at the Fermi level is 17.3 states/eV per cell.

=====

Here is an optimized crystal structure of Pr4Te3C from Alexandria. Energies are from PBE.

a = 9.637 Å, b = 9.428 Å, c = 6.281 Å
α = 90.00°, β = 90.00°, γ = 90.00°
Space group Pmn2_1 (No. 31)
Asymmetric unit:
Pr 0.000 0.069 0.000
Pr 0.000 0.814 0.538
Pr 0.215 0.689 0.007
Te 0.000 0.138 0.505
Te 0.215 0.346 0.011
C 0.000 0.812 0.934

## Properties
Its size of the total moment is 0.00 μB/cell. The calculation puts the uncorrected formation energy at -0.912 eV/atom. For the energy above the most stable polymorph in this dataset, the calculation gives 188 meV per atom. The density of states at the Fermi level is 11.7 states/eV per cell.

=====

Here is an optimized crystal structure of NdHo2ErTm from Alexandria. Energies are from PBE.

a = 8.348 Å, b = 11.407 Å, c = 7.181 Å
α = 90.00°, β = 90.00°, γ = 90.00°
Space group Cmcm (No. 63)
Asymmetric unit:
Nd 0.000 0.229 0.250
Ho 0.191 0.000 0.000
Er 0.000 0.499 0.750
Tm 0.000 0.221 0.750

## Properties
Its size of the total moment is 0.00 μB/cell. Its formation energy from the elements is 0.39 eV/atom. The density of states at the Fermi level is 26.6 states/eV per cell.

=====

Here is an optimized crystal structure of Pm2Th3Ga4 from Alexandria. Energies are from PBE.

a = 8.107 Å, b = 8.143 Å, c = 7.724 Å
α = 90.00°, β = 107.05°, γ = 90.00°
Space group P2_1/c (No. 14)
Asymmetric unit:
Pm 0.190 0.178 0.076
Th 0.242 0.681 0.251
Th 0.500 0.000 0.500
Ga 0.078 0.529 0.867
Ga 0.486 0.123 0.878

## Properties
Its size of the total moment is 0.00 μB/cell. Its formation energy from the elements is -0.45 eV/atom. The density of states at the Fermi level is 20.4 states/eV per cell.

=====

Here is an optimized crystal structure of SrAgH6Ir from Alexandria. Energies are from PBE.

a = 5.0486 Å, b = 5.0486 Å, c = 4.6937 Å
α = 90.00°, β = 90.00°, γ = 120.00°
Space group P312 (No. 149)
Asymmetric unit:
Sr 0.0000 0.0000 0.0000
Ag 0.3333 0.6667 0.5000
H 0.4210 0.0575 0.7216
Ir 0.6667 0.3333 0.5000

## Properties
For the uncorrected energy, the calculation gives -36.08 eV/cell. Its size of the total moment is 0.00 μB/cell.

=====

Here is an optimized crystal structure of CuAsCSe2 from Alexandria. Energies are from PBE.

a = 4.465 Å, b = 4.465 Å, c = 4.211 Å
α = 90.00°, β = 90.00°, γ = 90.00°
Space group P4/mmm (No. 123)
Asymmetric unit:
Cu 0.000 0.000 0.000
As 0.500 0.500 0.000
C 0.500 0.500 0.500
Se 0.000 0.500 0.500

## Properties
Its size of the total moment is 0.00 μB/cell. The calculation puts the uncorrected formation energy at 1.203 eV/atom. For the energy above the most stable polymorph in this dataset, the calculation gives 0 meV per atom. The density of states at the Fermi level is 3.6 states/eV per cell.

=====

Here is an optimized crystal structure of LaW from Alexandria. Energies are from PBE.

a = 5.1485 Å, b = 5.1485 Å, c = 6.0123 Å
α = 90.00°, β = 90.00°, γ = 120.00°
Space group P6_3/mmc (No. 194)
Asymmetric unit:
La 0.3333 0.6667 0.2500
W 0.3333 0.6667 0.7500

## Properties
Its size of the total moment is 5.38 μB/cell. Its formation energy from the elements is 2.27 eV/atom. For the energy above the most stable polymorph in this dataset, the calculation gives 1925 meV per atom. The density of states at the Fermi level is 7.7 states/eV per cell.

=====

Here is an optimized crystal structure of Y6Er2Sc from Alexandria. Energies are from PBE.

a = 13.056 Å, b = 13.684 Å, c = 6.349 Å
α = 90.00°, β = 93.72°, γ = 90.00°
Space group C2/c (No. 15)
Asymmetric unit:
Y 0.099 0.073 0.085
Y 0.112 0.208 0.606
Y 0.125 0.323 0.098
Er 0.203 0.442 0.542
Sc 0.000 0.467 0.750

## Properties
Its size of the total moment is 0.00 μB/cell. Its formation energy from the elements is 0.08 eV/atom. The density of states at the Fermi level is 48.0 states/eV per cell.

=====

Here is an optimized crystal structure of Li3PrTl from Alexandria. Energies are from PBE.

a = 5.017 Å, b = 28.978 Å, c = 3.436 Å
α = 90.00°, β = 90.00°, γ = 90.00°
Space group Cmmm (No. 65)
Asymmetric unit:
Li 0.000 0.046 0.000
Li 0.000 0.225 0.500
Li 0.000 0.441 0.500
Pr 0.000 0.332 0.000
Tl 0.000 0.121 0.500

## Properties
Its size of the total moment is 0.01 μB/cell. Its formation energy from the elements is -0.10 eV/atom. The density of states at the Fermi level is 13.5 states/eV per cell.

=====

Here is an optimized crystal structure of Fe3S3Cl from Alexandria. Energies are from PBE.

a = 7.255 Å, b = 4.267 Å, c = 8.931 Å
α = 90.00°, β = 102.26°, γ = 90.00°
Space group P2_1/m (No. 11)
Asymmetric unit:
Fe 0.062 0.250 0.234
Fe 0.190 0.250 0.820
Fe 0.287 0.750 0.182
S 0.090 0.750 0.343
S 0.225 0.750 0.904
S 0.279 0.250 0.097
Cl 0.411 0.250 0.665

## Properties
Its size of the total moment is 6.36 μB/cell. The calculation puts the uncorrected formation energy at -0.342 eV/atom. The density of states at the Fermi level is 13.4 states/eV per cell.

=====

Here is an optimized crystal structure of Ba2Hg3Pb4Au from Alexandria. Energies are from PBE.

a = 5.138 Å, b = 5.138 Å, c = 12.228 Å
α = 90.00°, β = 90.00°, γ = 90.00°
Space group P-4m2 (No. 115)
Asymmetric unit:
Ba 0.000 0.500 0.229
Hg 0.000 0.000 0.000
Hg 0.000 0.500 0.643
Pb 0.000 0.000 0.500
Pb 0.000 0.500 0.880
Pb 0.500 0.500 0.500
Au 0.500 0.500 0.000

## Properties
Its size of the total moment is 0.00 μB/cell. Its formation energy from the elements is -0.35 eV/atom. The density of states at the Fermi level is 3.9 states/eV per cell.

=====

Here is an optimized crystal structure of Pm2Zn5Pt from Alexandria. Energies are from PBE.

a = 4.244 Å, b = 16.419 Å, c = 9.050 Å
α = 90.00°, β = 90.00°, γ = 90.00°
Space group Cmcm (No. 63)
Asymmetric unit:
Pm 0.000 0.000 0.000
Pm 0.000 0.190 0.250
Zn 0.000 0.191 0.610
Zn 0.000 0.349 0.520
Zn 0.000 0.396 0.250
Pt 0.000 0.448 0.750

## Properties
Its size of the total moment is 0.00 μB/cell. Its formation energy from the elements is -0.51 eV/atom. The density of states at the Fermi level is 16.8 states/eV per cell.

=====

Here is an optimized crystal structure of OsCl4F2 from Alexandria. Energies are from PBE.

a = 5.576 Å, b = 6.308 Å, c = 6.348 Å
α = 118.29°, β = 114.16°, γ = 91.09°
Space group P-1 (No. 2)
Asymmetric unit:
Os 0.000 0.000 0.000
Cl 0.135 0.640 0.874
Cl 0.397 0.199 0.399
F 0.166 0.091 0.836

## Properties
Its size of the total moment is 2.01 μB/cell. The calculation puts the uncorrected formation energy at -0.791 eV/atom. The density of states at the Fermi level is 4.8 states/eV per cell.

=====

Here is an optimized crystal structure of K2Zn3CdGe4 from Alexandria. Energies are from PBE.

a = 4.466 Å, b = 4.466 Å, c = 11.212 Å
α = 90.00°, β = 90.00°, γ = 90.00°
Space group P-4m2 (No. 115)
Asymmetric unit:
K 0.000 0.500 0.247
Zn 0.000 0.500 0.867
Zn 0.500 0.500 0.500
Cd 0.000 0.000 0.500
Ge 0.000 0.000 0.000
Ge 0.000 0.500 0.640
Ge 0.500 0.500 0.000

## Properties
Its size of the total moment is 0.00 μB/cell. Its formation energy from the elements is -0.05 eV/atom. The density of states at the Fermi level is 4.0 states/eV per cell.

=====

Here is an optimized crystal structure of Ac3ZnRu from Alexandria. Energies are from PBE.

a = 5.701 Å, b = 5.701 Å, c = 5.701 Å
α = 90.00°, β = 90.00°, γ = 90.00°
Space group Pm-3m (No. 221)
Asymmetric unit:
Ac 0.000 0.000 0.500
Zn 0.500 0.500 0.500
Ru 0.000 0.000 0.000

## Properties
Its size of the total moment is 0.00 μB/cell. Its formation energy from the elements is -0.04 eV/atom. For the energy above the most stable polymorph in this dataset, the calculation gives 104 meV per atom. The density of states at the Fermi level is 5.4 states/eV per cell.